No. 1
Here is an optimized crystal structure of GdNbCS from the Open Quantum Materials Database. Energies are from PBE.

Summary:
E above lowest polymorph	0	meV/atom

a b c (Å): 3.4555 3.4555 12.4911
angles (deg): 90.00 90.00 120.00
Closest atoms and distances in Å follow each position.
Element x y z (fractional)
Gd: 0.0000 0.0000 0.1572  3 C 2.49
Gd: 0.0000 0.0000 0.8428  3 C 2.49
Nb: 0.3333 0.6667 0.3633  3 C 2.27
Nb: 0.3333 0.6667 0.6367  3 C 2.27
C: 0.6667 0.3333 0.2758  3 Nb 2.27, 3 Gd 2.49
C: 0.6667 0.3333 0.7242  3 Nb 2.27, 3 Gd 2.49
S: 0.0000 0.0000 0.5000  6 Nb 2.63
S: 0.3333 0.6667 0.0000  6 Gd 2.80

No. 2
Here is an optimized crystal structure of Na3Nd2SmPb3 from the Open Quantum Materials Database. Energies are from PBE.

Summary:
E_tot	-3.531	eV per atom

a b c (Å): 5.2653 5.2653 10.8321
angles (deg): 90.00 90.00 120.00
Closest atoms and distances in Å follow each position.
Element x y z (fractional)
Na: 0.0000 0.0000 0.0000  3 Pb 3.04
Na: 0.3333 0.6667 0.3160  3 Pb 3.05
Na: 0.3333 0.6667 0.6840  3 Pb 3.05
Nd: 0.6667 0.3333 0.1666  6 Na 3.44-3.54, 6 Pb 3.54-3.59, 1 Nd 3.61, 1 Sm 3.61
Nd: 0.6667 0.3333 0.8334  6 Na 3.44-3.54, 6 Pb 3.54-3.59, 1 Nd 3.61, 1 Sm 3.61
Sm: 0.6667 0.3333 0.5000  6 Pb 3.48, 2 Nd 3.61, 6 Na 3.64
Pb: 0.0000 0.0000 0.3437  3 Na 3.05, 1 Pb 3.39
Pb: 0.0000 0.0000 0.6563  3 Na 3.05, 1 Pb 3.39
Pb: 0.3333 0.6667 0.0000  3 Na 3.04

No. 3
Here is an optimized crystal structure of LuBi from the Open Quantum Materials Database. Energies are from PBE.

Summary:
E_tot	-5.032	eV per atom

a b c (Å): 4.3964 4.3964 4.3964
angles (deg): 60.00 60.00 60.00
Closest atoms and distances in Å follow each position.
Element x y z (fractional)
Lu: 0.0000 0.0000 0.0000  6 Bi 3.11
Bi: 0.5000 0.5000 0.5000  6 Lu 3.11

No. 4
Here is an optimized crystal structure of Dy2ErTm3As2Os from the Open Quantum Materials Database. Energies are from PBE.

Summary:
E_tot	-6.075	eV per atom

a b c (Å): 4.1390 7.8084 7.8084
angles (deg): 120.03 90.00 90.00
Closest atoms and distances in Å follow each position.
Element x y z (fractional)
Dy: 0.0000 0.2018 0.7982  4 As 3.15-3.16, 1 Os 3.18, 6 Tm 3.43-3.45
Dy: 0.0000 0.7982 0.2018  4 As 3.15-3.16, 1 Os 3.18, 6 Tm 3.43-3.45
Er: 0.0000 0.3943 0.3943  1 Os 3.10, 4 As 3.14, 6 Tm 3.44-3.46
Tm: 0.5000 0.0386 0.0386  2 Os 2.83, 2 As 3.02
Tm: 0.5000 0.5520 0.7976  2 Os 2.81, 2 As 3.00-3.02
Tm: 0.5000 0.7976 0.5520  2 Os 2.81, 2 As 3.00-3.02
As: 0.5000 0.1318 0.4634  3 Tm 3.00-3.02, 2 Er 3.14, 4 Dy 3.15-3.16
As: 0.5000 0.4634 0.1318  3 Tm 3.00-3.02, 2 Er 3.14, 4 Dy 3.15-3.16
Os: 0.0000 0.7919 0.7919  6 Tm 2.81-2.83, 1 Er 3.10

No. 5
Here is an optimized crystal structure of DyNiBi from the Open Quantum Materials Database. Energies are from PBE.

Summary:
E_tot	-5.282	eV per atom

a b c (Å): 7.4324 4.5663 7.7511
angles (deg): 90.00 90.00 90.00
Closest atoms and distances in Å follow each position.
Element x y z (fractional)
Dy: 0.0059 0.2500 0.2151  3 Ni 2.99-3.03, 5 Bi 3.17-3.20
Dy: 0.4941 0.7500 0.7151  3 Ni 2.99-3.03, 5 Bi 3.17-3.20
Dy: 0.5059 0.2500 0.2849  3 Ni 2.99-3.03, 5 Bi 3.17-3.20
Dy: 0.9941 0.7500 0.7849  3 Ni 2.99-3.03, 5 Bi 3.17-3.20
Ni: 0.1531 0.7500 0.4301  4 Bi 2.68-2.81, 1 Dy 2.99
Ni: 0.3469 0.2500 0.9301  4 Bi 2.68-2.81, 1 Dy 2.99
Ni: 0.6531 0.7500 0.0699  4 Bi 2.68-2.81, 1 Dy 2.99
Ni: 0.8469 0.2500 0.5699  4 Bi 2.68-2.81, 1 Dy 2.99
Bi: 0.2242 0.2500 0.5978  4 Ni 2.68-2.81
Bi: 0.2758 0.7500 0.0978  4 Ni 2.68-2.81
Bi: 0.7242 0.2500 0.9022  4 Ni 2.68-2.81
Bi: 0.7758 0.7500 0.4022  4 Ni 2.68-2.81

No. 6
Here is an optimized crystal structure of TbTmSi2W2C from the Open Quantum Materials Database. Energies are from PBE.

Summary:
E_tot	-8.412	eV per atom

a b c (Å): 5.8613 5.8613 7.0991
angles (deg): 123.11 123.11 38.08
Closest atoms and distances in Å follow each position.
Element x y z (fractional)
Tb: 0.0000 0.0000 0.0000  2 C 2.62
Tm: 0.1491 0.1491 0.5916  2 C 2.58
Si: 0.4438 0.4438 0.6358  1 Si 2.45, 3 W 2.52-2.61
Si: 0.7065 0.7065 0.9565  1 Si 2.45, 3 W 2.53-2.63
W: 0.3681 0.3681 0.2134  1 C 2.01
W: 0.7830 0.7830 0.3824  1 C 2.01
C: 0.5765 0.5765 0.3013  2 W 2.01

| no. | volume (Å³ per atom) |
| --- | --- |
| 1 | 16.15 |
| 2 | 28.90 |
| 3 | 30.04 |
| 4 | 24.28 |
| 5 | 21.92 |
| 6 | 17.54 |